No. 1
# Th5Hg4 (PBE-GGA, relaxed)
# ΔE_f: -12.63 kJ per mole of atoms
data_Th5Hg4
_space_group_name_H-M_alt 'I 4/m m m'
_space_group_IT_number 139
_space_group_name_Hall '-I 4 2'
_cell_length_a 11.027
_cell_length_b 11.027
_cell_length_c 4.148
_cell_angle_alpha 90.00
_cell_angle_beta 90.00
_cell_angle_gamma 90.00
loop_
_atom_site_label
_atom_site_type_symbol
_atom_site_fract_x
_atom_site_fract_y
_atom_site_fract_z
Th1 Th 0.000 0.000 0.000
Th2 Th 0.000 0.321 0.000
Hg1 Hg 0.174 0.174 0.500

---

No. 2
# ErCd6Ag (PBE-GGA, relaxed)
# Offset from the most stable computed form: 0.033 eV/atom
# ΔE_f: -10.02 kJ per mole of atoms
data_ErCd6Ag
_space_group_name_H-M_alt 'A m m 2'
_space_group_IT_number 38
_space_group_name_Hall 'A 2 -2'
_cell_length_a 4.808
_cell_length_b 7.215
_cell_length_c 10.403
_cell_angle_alpha 90.00
_cell_angle_beta 90.00
_cell_angle_gamma 90.00
loop_
_atom_site_label
_atom_site_type_symbol
_atom_site_fract_x
_atom_site_fract_y
_atom_site_fract_z
Er1 Er 0.000 0.000 0.000
Cd1 Cd 0.000 0.000 0.433
Cd2 Cd 0.000 0.213 0.721
Cd3 Cd 0.500 0.000 0.806
Cd4 Cd 0.500 0.212 0.525
Ag1 Ag 0.500 0.000 0.234

---

No. 3
# Tm3GaRu3 (PBE-GGA, relaxed)
# ΔE_f: -47.19 kJ per mole of atoms
data_Tm3GaRu3
_space_group_name_H-M_alt 'C m c m'
_space_group_IT_number 63
_space_group_name_Hall '-C 2c 2'
_cell_length_a 4.143
_cell_length_b 10.222
_cell_length_c 13.314
_cell_angle_alpha 90.00
_cell_angle_beta 90.00
_cell_angle_gamma 90.00
loop_
_atom_site_label
_atom_site_type_symbol
_atom_site_fract_x
_atom_site_fract_y
_atom_site_fract_z
Tm1 Tm 0.000 0.013 0.250
Tm2 Tm 0.000 0.300 0.106
Ga1 Ga 0.000 0.000 0.000
Ru1 Ru 0.000 0.276 0.750
Ru2 Ru 0.000 0.411 0.594